(1)
An optimized crystal structure of LaPm5Pr2Sm. Source: Alexandria, functional PBE.

Unit cell a=8.9150 b=8.9150 c=10.1971 alpha=115.92 beta=115.92 gamma=90.00
Element x y z (fractional)
La 0.2500 0.2500 0.5000
La 0.7500 0.7500 0.5000
Pm 0.9306 0.4306 0.2759
Pm 0.6547 0.1547 0.7241
Pm 0.0694 0.5694 0.7241
Pm 0.1547 0.0694 0.7241
Pm 0.5694 0.6547 0.7241
Pm 0.8453 0.9306 0.2759
Pm 0.4306 0.3453 0.2759
Pm 0.3453 0.8453 0.2759
Pm 0.5000 0.5000 0.0000
Pm 0.0000 0.0000 0.0000
Pr 0.1189 0.3811 0.0000
Pr 0.6189 0.1189 0.0000
Pr 0.3811 0.8811 0.0000
Pr 0.8811 0.6189 0.0000
Sm 0.2500 0.7500 0.5000
Sm 0.7500 0.2500 0.5000

Electronic total energy, eV/cell: -81.51

(2)
An optimized crystal structure of NaLiO. Source: Alexandria, functional PBE.

Unit cell a=3.4060 b=3.4059 c=5.4161 alpha=90.01 beta=90.01 gamma=90.00
Element x y z (fractional)
Na 0.8136 0.8665 0.5617
Na 0.3136 0.3665 0.2775
Li 0.8136 0.3665 0.9196
Li 0.3136 0.8665 0.9196
O 0.8136 0.8665 0.1200
O 0.3135 0.3664 0.7192

Formation energy from raw total energies, eV per atom: -1.4987